Computed, not measured: LiLaC after structural relaxation at the PBE-GGA level of DFT.

Calculated values
Total magnetic moment ... 0.00 μB per formula unit
E_form ... 0.06 eV per atom
Total energy ... -5.291 eV per atom
Energy above the lowest structure with this stoichiometry ... 0.126 eV/atom

a b c (Å): 4.2620 4.2620 4.2620
angles (deg): 60.00 60.00 60.00
Fractional coordinates of all 3 atoms:
C: 0.2500 0.2500 0.2500
La: 0.0000 0.0000 0.0000
Li: 0.5000 0.5000 0.5000

Computed, not measured: Dy5Ho3Er2 after structural relaxation at the PBE-GGA level of DFT.

Calculated values
Total magnetic moment ... 0.00 μB per formula unit
E_form ... 0.20 eV per atom
Total energy ... -4.382 eV per atom
Energy above the lowest structure with this stoichiometry ... 0.000 eV/atom

a b c (Å): 9.4422 9.4165 11.0275
angles (deg): 125.98 126.03 67.99
Fractional coordinates of all 20 atoms:
Dy: 0.4720 0.7220 0.4440
Dy: 0.7244 0.4744 0.9487
Dy: 0.5280 0.2780 0.5560
Dy: 0.8529 0.6046 0.7454
Dy: 0.9777 0.2277 0.4555
Dy: 0.0223 0.7723 0.5445
Dy: 0.2756 0.5256 0.0513
Dy: 0.6076 0.8592 0.2546
Dy: 0.3924 0.1408 0.7454
Dy: 0.1471 0.3954 0.2546
Ho: 0.9881 0.2203 0.7546
Ho: 0.2665 0.5343 0.7546
Ho: 0.7335 0.4657 0.2454
Ho: 0.0119 0.7797 0.2454
Ho: 0.2295 0.9795 0.9590
Ho: 0.7705 0.0205 0.0410
Er: 0.7795 0.0106 0.7432
Er: 0.5364 0.2674 0.2568
Er: 0.2205 0.9894 0.2568
Er: 0.4636 0.7326 0.7432

Computed, not measured: Be2AsPt after structural relaxation at the PBE-GGA level of DFT.

Calculated values
Total magnetic moment ... 0.00 μB per formula unit
E_form ... -0.25 eV per atom
Total energy ... -4.787 eV per atom

a b c (Å): 2.7298 2.8030 7.0726
angles (deg): 89.99 90.00 90.00
Fractional coordinates of all 4 atoms:
Be: 0.0000 0.7499 0.4505
Be: 0.0000 0.7501 0.0495
As: 0.5000 0.7500 0.7500
Pt: 0.5000 0.2500 0.2500

Computed, not measured: FeOsSe2 after structural relaxation at the PBE-GGA level of DFT.

Calculated values
Total magnetic moment ... 3.38 μB per formula unit
Total energy ... -6.158 eV per atom
Energy above the lowest structure with this stoichiometry ... 0.522 eV/atom
ΔE_f (raw) ... 48.9 kJ per mole of atoms

a b c (Å): 7.6545 7.6545 7.6545
angles (deg): 27.80 27.80 27.80
Site moments in Bohr magnetons follow the coordinates.
Fractional coordinates of all 4 atoms:
Os: 0.5000 0.5000 0.5000  0.20
Fe: 0.0000 0.0000 0.0000  3.00
Se: 0.8935 0.8935 0.8935  0.03
Se: 0.1065 0.1065 0.1065  0.03

Computed, not measured: DyHo7Th3 after structural relaxation at the PBE-GGA level of DFT.

Calculated values
Total magnetic moment ... 0.00 μB per formula unit
E_form ... 0.21 eV per atom
Total energy ... -5.146 eV per atom
Energy above the lowest structure with this stoichiometry ... 0.057 eV/atom

a b c (Å): 8.5043 7.0462 7.0462
angles (deg): 120.00 90.00 90.00
Fractional coordinates of all 11 atoms:
Th: 0.7833 0.5002 0.4998
Th: 0.7833 0.5002 0.0003
Th: 0.7833 0.9997 0.4998
Ho: 0.4514 0.8321 0.6642
Ho: 0.1148 0.1678 0.3356
Ho: 0.4514 0.8321 0.1679
Ho: 0.4514 0.3358 0.1679
Ho: 0.1148 0.1678 0.8322
Ho: 0.1119 0.6667 0.3333
Ho: 0.1148 0.6644 0.8322
Dy: 0.4547 0.3333 0.6667

Computed, not measured: CdHIr3 after structural relaxation at the PBE-GGA level of DFT.

Calculated values
Total magnetic moment ... 0.00 μB per formula unit
Total energy ... -5.885 eV per atom
Energy above the lowest structure with this stoichiometry ... 0.000 eV/atom

a b c (Å): 4.0304 4.0304 4.0304
angles (deg): 90.00 90.00 90.00
Fractional coordinates of all 5 atoms:
Ir: 0.5000 0.0000 0.0000
Ir: 0.0000 0.5000 0.0000
Ir: 0.0000 0.0000 0.5000
Cd: 0.5000 0.5000 0.5000
H: 0.0000 0.0000 0.0000

Computed, not measured: KRbZnCd2 after structural relaxation at the PBE-GGA level of DFT.

Calculated values
Total magnetic moment ... 0.00 μB per formula unit
E_form ... 0.12 eV per atom
Total energy ... -0.913 eV per atom
Energy above the lowest structure with this stoichiometry ... 0.030 eV/atom

a b c (Å): 5.4367 5.4367 6.3296
angles (deg): 90.00 90.00 90.00
Fractional coordinates of all 5 atoms:
Rb: 0.0000 0.0000 0.5000
Cd: 0.5000 0.0000 0.0000
Cd: 0.0000 0.5000 0.0000
K: 0.5000 0.5000 0.5000
Zn: 0.0000 0.0000 0.0000

Computed, not measured: Ce4AgIr2 after structural relaxation at the PBE-GGA level of DFT.

Calculated values
Total magnetic moment ... 2.68 μB per formula unit
E_form ... -0.48 eV per atom
Total energy ... -6.806 eV per atom

a b c (Å): 7.6591 7.6595 7.6804
angles (deg): 108.56 108.58 111.18
Site moments in Bohr magnetons follow the coordinates.
Fractional coordinates of all 14 atoms:
Ce: 0.3994 0.1459 0.3896  0.56
Ce: 0.8500 0.7413 0.2477  0.56
Ce: 0.3972 0.1496 0.8904  0.56
Ce: 0.2592 0.5068 0.1097  0.56
Ce: 0.9905 0.6000 0.7466  0.56
Ce: 0.8535 0.2439 0.2533  0.56
Ce: 0.7564 0.0099 0.6105  0.56
Ce: 0.4936 0.6023 0.7522  0.56
Ir: 0.1249 0.2353 0.6105  -0.04
Ir: 0.6248 0.5144 0.3895  -0.04
Ir: 0.7648 0.3759 0.8901  -0.04
Ir: 0.4858 0.8747 0.1099  -0.04
Ag: 0.0000 0.9999 0.0000  0.01
Ag: 0.2499 0.7500 0.5000  0.01

Computed, not measured: NdDy6Zn after structural relaxation at the PBE-GGA level of DFT.

Calculated values
Total magnetic moment ... 0.00 μB per formula unit
E_form ... 0.04 eV per atom
Total energy ... -4.164 eV per atom

a b c (Å): 9.3109 8.4179 6.2758
angles (deg): 47.88 42.13 56.42
Fractional coordinates of all 8 atoms:
Dy: 0.9549 0.5770 0.2330
Dy: 0.2351 0.0448 0.2974
Dy: 0.0451 0.4230 0.7670
Dy: 0.4226 0.7648 0.8573
Dy: 0.7649 0.9552 0.7026
Dy: 0.5774 0.2352 0.1427
Zn: 0.0000 0.0000 0.0000
Nd: 0.5000 0.5000 0.5000

Computed, not measured: Li2SmIrO6 after structural relaxation at the PBE-GGA level of DFT.

Calculated values
Total magnetic moment ... 1.42 μB per formula unit
Total energy ... -6.387 eV per atom
ΔE_f (raw) ... -161.2 kJ per mole of atoms

a b c (Å): 5.3880 5.5100 7.9046
angles (deg): 90.00 90.74 90.00
Site moments in Bohr magnetons follow the coordinates.
Fractional coordinates of all 20 atoms:
O: 0.6207 0.0877 0.2765  0.08
O: 0.3793 0.9123 0.7235  0.08
O: 0.6214 0.3071 0.5799  0.08
O: 0.8786 0.8071 0.9201  0.08
O: 0.1214 0.1929 0.0799  0.08
O: 0.3786 0.6929 0.4201  0.08
O: 0.1207 0.4123 0.7765  0.08
O: 0.1866 0.1376 0.4412  0.09
O: 0.8134 0.8624 0.5588  0.09
O: 0.3134 0.6377 0.0588  0.09
O: 0.6866 0.3624 0.9412  0.09
O: 0.8793 0.5877 0.2235  0.08
Sm: 0.0000 0.5000 0.5000  0.02
Sm: 0.5000 0.0000 0.0000  0.02
Ir: 0.5000 0.0000 0.5000  0.71
Ir: 0.0000 0.5000 0.0000  0.71
Li: 0.0245 0.0235 0.7400  0.01
Li: 0.4755 0.5235 0.7600  0.01
Li: 0.5245 0.4765 0.2400  0.01
Li: 0.9755 0.9765 0.2600  0.01

Computed, not measured: TaBi3Br after structural relaxation at the PBE-GGA level of DFT.

Calculated values
Total magnetic moment ... 0.00 μB per formula unit
Total energy ... -4.764 eV per atom
Energy above the lowest structure with this stoichiometry ... 0.000 eV/atom
ΔE_f (raw) ... 26.1 kJ per mole of atoms

a b c (Å): 5.4952 5.4952 5.4952
angles (deg): 90.00 90.00 90.00
Fractional coordinates of all 5 atoms:
Br: 0.5000 0.5000 0.5000
Bi: 0.5000 0.0000 0.0000
Bi: 0.0000 0.5000 0.0000
Bi: 0.0000 0.0000 0.5000
Ta: 0.0000 0.0000 0.0000

Computed, not measured: Ta3TlSn after structural relaxation at the PBE-GGA level of DFT.

Calculated values
Total magnetic moment ... 0.00 μB per formula unit
E_form ... 2.17 eV per atom
Total energy ... -6.219 eV per atom
Energy above the lowest structure with this stoichiometry ... 0.262 eV/atom

a b c (Å): 5.0855 5.0855 5.0855
angles (deg): 90.00 90.00 90.00
Fractional coordinates of all 5 atoms:
Tl: 0.0000 0.0000 0.0000
Sn: 0.5000 0.5000 0.5000
Ta: 0.0000 0.5000 0.0000
Ta: 0.5000 0.0000 0.0000
Ta: 0.0000 0.0000 0.5000

Computed, not measured: La3Mg5 after structural relaxation at the PBE-GGA level of DFT.

Calculated values
Total magnetic moment ... 0.00 μB per formula unit
E_form ... 0.08 eV per atom
Total energy ... -2.764 eV per atom
Energy above the lowest structure with this stoichiometry ... 0.156 eV/atom

a b c (Å): 9.8295 9.8295 5.7340
angles (deg): 90.00 90.00 120.00
Fractional coordinates of all 16 atoms:
Mg: 0.3333 0.6667 0.0000
Mg: 0.6667 0.3333 0.5000
Mg: 0.8001 0.8001 0.2500
Mg: 0.6667 0.3333 0.0000
Mg: 0.1999 0.0000 0.2500
Mg: 0.3333 0.6667 0.5000
Mg: 0.8001 0.0000 0.7500
Mg: 0.0000 0.8001 0.7500
Mg: 0.1999 0.1999 0.7500
Mg: 0.0000 0.1999 0.2500
La: 0.0000 0.6038 0.2500
La: 0.6038 0.0000 0.2500
La: 0.6038 0.6038 0.7500
La: 0.3962 0.3962 0.2500
La: 0.3962 0.0000 0.7500
La: 0.0000 0.3962 0.7500

Computed, not measured: YBeAg4 after structural relaxation at the PBE-GGA level of DFT.

Calculated values
Total magnetic moment ... 0.00 μB per formula unit
E_form ... 0.11 eV per atom
Total energy ... -3.490 eV per atom

a b c (Å): 5.4885 5.4885 5.4885
angles (deg): 60.00 60.00 60.00
Fractional coordinates of all 6 atoms:
Ag: 0.3756 0.3756 0.3756
Ag: 0.3756 0.8733 0.3756
Ag: 0.3756 0.3756 0.8733
Ag: 0.8733 0.3756 0.3756
Be: 0.7500 0.7500 0.7500
Y: 0.0000 0.0000 0.0000

Computed, not measured: Si3Ni after structural relaxation at the PBE-GGA level of DFT.

Calculated values
Total magnetic moment ... 0.00 μB per formula unit
Total energy ... -5.291 eV per atom
ΔE_f (raw) ... 21.4 kJ per mole of atoms

a b c (Å): 3.7236 3.7236 3.7236
angles (deg): 90.00 90.00 90.00
Fractional coordinates of all 4 atoms:
Ni: 0.0000 0.0000 0.0000
Si: 0.0000 0.5000 0.5000
Si: 0.5000 0.5000 0.0000
Si: 0.5000 0.0000 0.5000

Computed, not measured: Li2Cu3Rh2 after structural relaxation at the PBE-GGA level of DFT.

Calculated values
Total magnetic moment ... 0.00 μB per formula unit
E_form ... -0.02 eV per atom
Total energy ... -4.419 eV per atom
Energy above the lowest structure with this stoichiometry ... 0.035 eV/atom

a b c (Å): 3.0310 6.3907 4.8802
angles (deg): 100.41 108.09 90.00
Fractional coordinates of all 7 atoms:
Rh: 0.5675 0.7035 0.1351
Rh: 0.4325 0.2965 0.8649
Cu: 0.2875 0.8663 0.5750
Cu: 0.7125 0.1337 0.4250
Cu: 0.0000 0.0000 0.0000
Li: 0.8484 0.5840 0.6968
Li: 0.1516 0.4160 0.3032

Computed, not measured: MnZn2Pb after structural relaxation at the PBE-GGA level of DFT.

Calculated values
Total magnetic moment ... 4.13 μB per formula unit
E_form ... 0.34 eV per atom
Total energy ... -3.517 eV per atom

a b c (Å): 9.0997 9.0997 9.0997
angles (deg): 20.39 20.39 20.39
Site moments in Bohr magnetons follow the coordinates.
Fractional coordinates of all 4 atoms:
Mn: 0.5117 0.5117 0.5117  3.83
Zn: 0.9857 0.9857 0.9857  0.04
Zn: 0.2502 0.2502 0.2502  0.00
Pb: 0.7524 0.7524 0.7524  0.00

Computed, not measured: AcErTlGe after structural relaxation at the PBE-GGA level of DFT.

Calculated values
Total magnetic moment ... 0.00 μB per formula unit
E_form ... -0.37 eV per atom
Total energy ... -4.286 eV per atom

a b c (Å): 5.4519 5.4519 5.4519
angles (deg): 60.00 60.00 60.00
Fractional coordinates of all 4 atoms:
Er: 0.5000 0.5000 0.5000
Ac: 0.0000 0.0000 0.0000
Tl: 0.7500 0.7500 0.7500
Ge: 0.2500 0.2500 0.2500

Computed, not measured: Pr2ErAu after structural relaxation at the PBE-GGA level of DFT.

Calculated values
Total magnetic moment ... 0.00 μB per formula unit
E_form ... -0.22 eV per atom
Total energy ... -4.570 eV per atom
Energy above the lowest structure with this stoichiometry ... 0.171 eV/atom

a b c (Å): 3.7740 3.7740 10.4470
angles (deg): 79.59 79.59 60.00
Fractional coordinates of all 4 atoms:
Au: 0.6672 0.6672 0.9984
Pr: 0.2604 0.2604 0.2187
Pr: 0.0730 0.0730 0.7809
Er: 0.4993 0.4993 0.5020